Record 1
# Cs2YPdCl

A PBEsol-optimized structure of Cs2YPdCl (meta-GGA SCAN, the Alexandria database).

Cell and atoms, written as POSCAR:
```
Cs2YPdCl
1.0
5.223 0.000 0.000
0.000 6.215 0.000
0.000 0.000 6.215
Cs Y Cl Pd
2 1 1 1
Direct
0.000 0.500 0.000 Cs
0.000 0.000 0.500 Cs
0.500 0.000 0.000 Y
0.000 0.000 0.000 Cl
0.500 0.500 0.500 Pd
```

Computed properties:
Its space group is P4/mmm. The calculation puts the uncorrected formation energy at -0.33 eV/f.u. As for the total magnetization: 0.015 μB per cell.

Record 2
# Cs2PrCl5

A PBEsol-optimized structure of Cs2PrCl5 (meta-GGA SCAN, the Alexandria database).

Cell and atoms, written as POSCAR:
```
Cs2PrCl5
1.0
8.491 0.000 0.000
0.000 9.002 0.000
0.000 0.000 13.635
Cs Cl Pr
8 20 4
Direct
0.939 0.494 0.171 Cs
0.561 0.006 0.671 Cs
0.061 0.994 0.829 Cs
0.939 0.006 0.171 Cs
0.439 0.994 0.329 Cs
0.061 0.506 0.829 Cs
0.561 0.494 0.671 Cs
0.439 0.506 0.329 Cs
0.855 0.750 0.691 Cl
0.341 0.542 0.067 Cl
0.145 0.250 0.309 Cl
0.611 0.250 0.174 Cl
0.841 0.458 0.433 Cl
0.893 0.750 0.986 Cl
0.111 0.750 0.326 Cl
0.389 0.750 0.826 Cl
0.159 0.958 0.567 Cl
0.659 0.458 0.933 Cl
0.607 0.750 0.486 Cl
0.355 0.250 0.809 Cl
0.889 0.250 0.674 Cl
0.341 0.958 0.067 Cl
0.645 0.750 0.191 Cl
0.659 0.042 0.933 Cl
0.393 0.250 0.514 Cl
0.841 0.042 0.433 Cl
0.159 0.542 0.567 Cl
0.107 0.250 0.014 Cl
0.433 0.250 0.005 Pr
0.933 0.750 0.495 Pr
0.567 0.750 0.995 Pr
0.067 0.250 0.505 Pr
```

Computed properties:
Its space group is Pnma. The calculation puts the uncorrected formation energy at -19.68 eV/f.u. As for the total magnetization: 0.000 μB per cell.

Record 3
# Cs2RbPrCl6

A PBEsol-optimized structure of Cs2RbPrCl6 (meta-GGA SCAN, the Alexandria database).

Cell and atoms, written as POSCAR:
```
Cs2RbPrCl6
1.0
-2.451 3.870 6.768
-1.572 -4.255 6.798
5.016 0.567 6.427
Cl Cs Rb Pr
6 2 1 1
Direct
0.235 0.765 0.765 Cl
0.235 0.765 0.235 Cl
0.765 0.235 0.765 Cl
0.235 0.235 0.765 Cl
0.765 0.235 0.235 Cl
0.765 0.765 0.235 Cl
0.750 0.750 0.750 Cs
0.250 0.250 0.250 Cs
0.500 0.500 0.500 Rb
0.000 0.000 0.000 Pr
```

Computed properties:
Its space group is Fm-3m. The calculation puts the uncorrected formation energy at -23.51 eV/f.u. As for the total magnetization: 0.000 μB per cell.

Record 4
# Cs3PtCl

A PBEsol-optimized structure of Cs3PtCl (meta-GGA SCAN, the Alexandria database).

Cell and atoms, written as POSCAR:
```
Cs3PtCl
1.0
-3.341 0.358 5.273
3.502 -4.522 2.526
3.958 4.303 2.216
Cs Pt Cl
3 1 1
Direct
0.000 0.500 0.000 Cs
0.000 0.000 0.500 Cs
0.500 0.000 0.000 Cs
0.500 0.500 0.500 Pt
0.000 0.000 0.000 Cl
```

Computed properties:
Its space group is Pm-3m. The calculation puts the uncorrected formation energy at -3.05 eV/f.u. As for the total magnetization: 0.171 μB per cell.

Record 5
# CsPtCl2

A PBEsol-optimized structure of CsPtCl2 (meta-GGA SCAN, the Alexandria database).

Cell and atoms, written as POSCAR:
```
CsPtCl2
1.0
5.921 0.000 0.000
0.000 5.921 0.000
-2.960 -2.960 7.277
Cl Cs Pt
4 2 2
Direct
0.218 0.875 0.250 Cl
0.125 0.968 0.750 Cl
0.032 0.375 0.250 Cl
0.625 0.782 0.750 Cl
0.500 0.500 0.000 Cs
0.750 0.250 0.500 Cs
0.250 0.750 0.500 Pt
0.000 0.000 0.000 Pt
```

Computed properties:
Its space group is I-42d. The calculation puts the uncorrected formation energy at -2.69 eV/f.u. As for the total magnetization: 0.000 μB per cell.

Record 6
# CsPtSCl2

A PBEsol-optimized structure of CsPtSCl2 (meta-GGA SCAN, the Alexandria database).

Cell and atoms, written as POSCAR:
```
CsPtSCl2
1.0
-2.763 -3.311 1.337
2.095 -3.169 -3.519
3.519 -1.533 3.476
Cl Cs S Pt
2 1 1 1
Direct
0.000 0.500 0.000 Cl
0.000 0.000 0.500 Cl
0.500 0.500 0.500 Cs
0.500 0.000 0.000 S
0.000 0.000 0.000 Pt
```

Computed properties:
Its space group is P4/mmm. The calculation puts the uncorrected formation energy at -4.08 eV/f.u. As for the total magnetization: 0.000 μB per cell.